Computed, not measured: a geometry-optimized DyMnSi2Mo structure at the PBE level of DFT.

Calculated values
Fermi-level density of states: 6.40 states/eV/cell
Total magnetization: 4.8 μB/cell
Formation energy (no corrections): -2.67 eV per formula unit

```
data_DyMnSi2Mo
_cell_length_a 3.942
_cell_length_b 3.942
_cell_length_c 10.910
_cell_angle_alpha 90.00
_cell_angle_beta 90.00
_cell_angle_gamma 90.00
_symmetry_space_group_name_H-M 'I -4 m 2'
_symmetry_Int_Tables_number 119
_symmetry_space_group_name_Hall 'I -4 -2'
loop_
_atom_site_label
_atom_site_type_symbol
_atom_site_fract_x
_atom_site_fract_y
_atom_site_fract_z
Dy1 Dy 0.000 0.000 0.000
Mn1 Mn 0.000 0.500 0.250
Si1 Si 0.000 0.000 0.389
Mo1 Mo 0.000 0.500 0.750
```



Computed, not measured: a geometry-optimized DyMnN structure at the PBE level of DFT.

Calculated values
Fermi-level density of states: 8.01 states/eV/cell
Total magnetization: 0.0 μB/cell
Formation energy (no corrections): -1.04 eV per formula unit

```
data_DyMnN
_cell_length_a 2.843
_cell_length_b 18.724
_cell_length_c 3.284
_cell_angle_alpha 90.00
_cell_angle_beta 90.00
_cell_angle_gamma 90.00
_symmetry_space_group_name_H-M 'C m c m'
_symmetry_Int_Tables_number 63
_symmetry_space_group_name_Hall '-C 2c 2'
loop_
_atom_site_label
_atom_site_type_symbol
_atom_site_fract_x
_atom_site_fract_y
_atom_site_fract_z
Dy1 Dy 0.000 0.091 0.250
Mn1 Mn 0.000 0.216 0.750
N1 N 0.000 0.357 0.250
```



Computed, not measured: a geometry-optimized Dy2MnN structure at the PBE level of DFT.

Calculated values
Fermi-level density of states: 6.31 states/eV/cell
Total magnetization: 10.3 μB/cell
Formation energy (no corrections): -1.36 eV per formula unit

```
data_Dy2MnN
_cell_length_a 3.3637
_cell_length_b 3.3637
_cell_length_c 25.7734
_cell_angle_alpha 90.00
_cell_angle_beta 90.00
_cell_angle_gamma 120.00
_symmetry_space_group_name_H-M 'R -3 m'
_symmetry_Int_Tables_number 166
_symmetry_space_group_name_Hall '-R 3 2"'
loop_
_atom_site_label
_atom_site_type_symbol
_atom_site_fract_x
_atom_site_fract_y
_atom_site_fract_z
Dy1 Dy 0.0000 0.0000 0.1141
Mn1 Mn 0.0000 0.0000 0.0000
N1 N 0.0000 0.0000 0.5000
```